Below is crystalline Ac7LaPm3 at its relaxed geometry, with properties calculated at the GGA-PBE level.

- Energy relative to the lowest polymorph listed for this composition: 6.2 meV per atom
- Energy of formation from the pure elements: 0.240 eV/atom

a b c (Å): 8.348 8.348 6.930
angles (deg): 95.36 95.36 83.85
Fractional positions:
Ac 0.000 0.000 0.000
Ac 0.082 0.427 0.259
Ac 0.266 0.266 0.772
Ac 0.427 0.082 0.259
Ac 0.573 0.918 0.741
Ac 0.734 0.734 0.228
Ac 0.918 0.573 0.741
La 0.000 0.000 0.500
Pm 0.336 0.664 0.000
Pm 0.500 0.500 0.500
Pm 0.664 0.336 0.000

Below is crystalline CaTl2PbF6 at its relaxed geometry, with properties calculated at the GGA-PBE level.

- Formation energy without anion corrections: -2.5825 eV/atom

a b c (Å): 6.481 6.588 11.295
angles (deg): 90.00 124.95 90.00
Fractional positions:
Ca 0.000 0.000 0.000
Ca 0.000 0.500 0.500
Tl 0.243 0.031 0.750
Tl 0.243 0.469 0.250
Tl 0.757 0.531 0.750
Tl 0.757 0.969 0.250
Pb 0.500 0.000 0.500
Pb 0.500 0.500 0.000
F 0.148 0.216 0.456
F 0.148 0.284 0.956
F 0.243 0.695 0.458
F 0.243 0.805 0.958
F 0.323 0.025 0.239
F 0.323 0.475 0.739
F 0.677 0.525 0.261
F 0.677 0.975 0.761
F 0.757 0.195 0.042
F 0.757 0.305 0.542
F 0.852 0.716 0.044
F 0.852 0.784 0.544

Below is crystalline Ho8P3AuSe4 at its relaxed geometry, with properties calculated at the GGA-PBE level.

- Formation energy without anion corrections: -1.6149 eV/atom

a b c (Å): 8.125 8.125 8.125
angles (deg): 59.61 59.61 59.61
Fractional positions:
Ho 0.237 0.750 0.750
Ho 0.242 0.242 0.242
Ho 0.250 0.250 0.763
Ho 0.250 0.763 0.250
Ho 0.750 0.237 0.750
Ho 0.750 0.750 0.237
Ho 0.758 0.758 0.758
Ho 0.763 0.250 0.250
P 0.000 0.000 0.500
P 0.000 0.500 0.000
P 0.500 0.000 0.000
Au 0.500 0.500 0.500
Se 0.000 0.000 0.000
Se 0.000 0.500 0.500
Se 0.500 0.000 0.500
Se 0.500 0.500 0.000

Below is crystalline Na6LiPb2 at its relaxed geometry, with properties calculated at the GGA-PBE level.

- Energy relative to the lowest polymorph listed for this composition: 9.3 meV per atom
- Energy of formation from the pure elements: -0.117 eV/atom

a b c (Å): 10.226 10.229 4.968
angles (deg): 90.00 90.00 90.00
Fractional positions:
Na 0.014 0.185 0.000
Na 0.150 0.656 0.500
Na 0.185 0.994 0.500
Na 0.315 0.494 0.000
Na 0.350 0.156 0.000
Na 0.486 0.685 0.500
Na 0.514 0.315 0.500
Na 0.650 0.844 0.000
Na 0.685 0.506 0.000
Na 0.815 0.006 0.500
Na 0.850 0.344 0.500
Na 0.986 0.815 0.000
Li 0.000 0.500 0.000
Li 0.500 0.000 0.500
Pb 0.179 0.328 0.500
Pb 0.321 0.828 0.000
Pb 0.679 0.172 0.000
Pb 0.821 0.672 0.500